No. 1
# BeTcAgPd2 | Alexandria | GGA-PBE | optimized geometry
# * spin magnetization: 3.82 Bohr magnetons per cell
# * Fermi-level density of states: 0.97 states/eV per atom
data_BeTcAgPd2
_cell_length_a 4.9190
_cell_length_b 4.9190
_cell_length_c 4.8923
_cell_angle_alpha 90.00
_cell_angle_beta 90.00
_cell_angle_gamma 90.00
_symmetry_space_group_name_H-M 'P 4/m m m'
_symmetry_Int_Tables_number 123
_symmetry_space_group_name_Hall '-P 4 2'
loop_
_atom_site_label
_atom_site_type_symbol
_atom_site_fract_x
_atom_site_fract_y
_atom_site_fract_z
Be1 Be 0.0000 0.0000 0.0000
Tc1 Tc 0.5000 0.5000 0.0000
Ag1 Ag 0.5000 0.5000 0.5000
Pd1 Pd 0.0000 0.5000 0.5000


No. 2
# YBeAgPd2 | Alexandria | GGA-PBE | optimized geometry
# * spin magnetization: 0.00 Bohr magnetons per cell
# * Fermi-level density of states: 0.72 states/eV per atom
data_YBeAgPd2
_cell_length_a 4.4352
_cell_length_b 4.4352
_cell_length_c 4.4525
_cell_angle_alpha 90.00
_cell_angle_beta 90.00
_cell_angle_gamma 90.00
_symmetry_space_group_name_H-M 'P 4/m m m'
_symmetry_Int_Tables_number 123
_symmetry_space_group_name_Hall '-P 4 2'
loop_
_atom_site_label
_atom_site_type_symbol
_atom_site_fract_x
_atom_site_fract_y
_atom_site_fract_z
Y1 Y 0.0000 0.0000 0.0000
Be1 Be 0.5000 0.5000 0.5000
Ag1 Ag 0.5000 0.5000 0.0000
Pd1 Pd 0.0000 0.5000 0.5000


No. 3
# BeZnAgPd | Alexandria | GGA-PBE | optimized geometry
# * spin magnetization: 0.00 Bohr magnetons per cell
# * Fermi-level density of states: 0.51 states/eV per atom
data_BeZnAgPd
_cell_length_a 6.0420
_cell_length_b 6.0420
_cell_length_c 6.0420
_cell_angle_alpha 90.00
_cell_angle_beta 90.00
_cell_angle_gamma 90.00
_symmetry_space_group_name_H-M 'F -4 3 m'
_symmetry_Int_Tables_number 216
_symmetry_space_group_name_Hall 'F -4 2 3'
loop_
_atom_site_label
_atom_site_type_symbol
_atom_site_fract_x
_atom_site_fract_y
_atom_site_fract_z
Be1 Be 0.0000 0.0000 0.0000
Zn1 Zn 0.0000 0.0000 0.5000
Ag1 Ag 0.2500 0.2500 0.7500
Pd1 Pd 0.2500 0.2500 0.2500


No. 4
# Be2ZnAgPd | Alexandria | GGA-PBE | optimized geometry
# * spin magnetization: 0.00 Bohr magnetons per cell
# * Fermi-level density of states: 0.43 states/eV per atom
data_Be2ZnAgPd
_cell_length_a 4.1523
_cell_length_b 4.1523
_cell_length_c 4.6564
_cell_angle_alpha 90.00
_cell_angle_beta 90.00
_cell_angle_gamma 90.00
_symmetry_space_group_name_H-M 'P 4/m m m'
_symmetry_Int_Tables_number 123
_symmetry_space_group_name_Hall '-P 4 2'
loop_
_atom_site_label
_atom_site_type_symbol
_atom_site_fract_x
_atom_site_fract_y
_atom_site_fract_z
Be1 Be 0.0000 0.5000 0.0000
Zn1 Zn 0.0000 0.0000 0.0000
Ag1 Ag 0.5000 0.5000 0.5000
Pd1 Pd 0.0000 0.0000 0.5000


No. 5
# Pm2BeAg | Alexandria | GGA-PBE | optimized geometry
# * energy above the most stable polymorph in this dataset: 0.00 eV/f.u.
# * spin magnetization: 0.00 Bohr magnetons per cell
# * Fermi-level density of states: 0.72 states/eV per atom
data_Pm2BeAg
_cell_length_a 3.5893
_cell_length_b 3.5893
_cell_length_c 7.3431
_cell_angle_alpha 90.00
_cell_angle_beta 90.00
_cell_angle_gamma 90.00
_symmetry_space_group_name_H-M 'P 4/m m m'
_symmetry_Int_Tables_number 123
_symmetry_space_group_name_Hall '-P 4 2'
loop_
_atom_site_label
_atom_site_type_symbol
_atom_site_fract_x
_atom_site_fract_y
_atom_site_fract_z
Pm1 Pm 0.0000 0.0000 0.2276
Be1 Be 0.5000 0.5000 0.0000
Ag1 Ag 0.5000 0.5000 0.5000


No. 6
# Pm2BeAg | Alexandria | GGA-PBE | optimized geometry
# * energy above the most stable polymorph in this dataset: 0.23 eV/f.u.
# * spin magnetization: 0.00 Bohr magnetons per cell
# * Fermi-level density of states: 0.87 states/eV per atom
data_Pm2BeAg
_cell_length_a 7.2868
_cell_length_b 7.2868
_cell_length_c 7.2868
_cell_angle_alpha 90.00
_cell_angle_beta 90.00
_cell_angle_gamma 90.00
_symmetry_space_group_name_H-M 'F m -3 m'
_symmetry_Int_Tables_number 225
_symmetry_space_group_name_Hall '-F 4 2 3'
loop_
_atom_site_label
_atom_site_type_symbol
_atom_site_fract_x
_atom_site_fract_y
_atom_site_fract_z
Pm1 Pm 0.2500 0.2500 0.2500
Be1 Be 0.0000 0.0000 0.0000
Ag1 Ag 0.0000 0.0000 0.5000


No. 7
# PmPrBeAg | Alexandria | GGA-PBE | optimized geometry
# * spin magnetization: 0.01 Bohr magnetons per cell
# * Fermi-level density of states: 0.95 states/eV per atom
data_PmPrBeAg
_cell_length_a 7.3429
_cell_length_b 7.3429
_cell_length_c 7.3429
_cell_angle_alpha 90.00
_cell_angle_beta 90.00
_cell_angle_gamma 90.00
_symmetry_space_group_name_H-M 'F -4 3 m'
_symmetry_Int_Tables_number 216
_symmetry_space_group_name_Hall 'F -4 2 3'
loop_
_atom_site_label
_atom_site_type_symbol
_atom_site_fract_x
_atom_site_fract_y
_atom_site_fract_z
Pm1 Pm 0.0000 0.0000 0.0000
Pr1 Pr 0.0000 0.0000 0.5000
Be1 Be 0.2500 0.2500 0.7500
Ag1 Ag 0.2500 0.2500 0.2500


No. 8
# Pm2Be3AgPt4 | Alexandria | GGA-PBE | optimized geometry
# * spin magnetization: 0.00 Bohr magnetons per cell
# * Fermi-level density of states: 0.28 states/eV per atom
data_Pm2Be3AgPt4
_cell_length_a 4.0451
_cell_length_b 4.0451
_cell_length_c 10.4896
_cell_angle_alpha 90.00
_cell_angle_beta 90.00
_cell_angle_gamma 90.00
_symmetry_space_group_name_H-M 'P -4 m 2'
_symmetry_Int_Tables_number 115
loop_
_symmetry_equiv_pos_as_xyz
'x,y,z'
'y,-x,-z'
'-x,-y,z'
'-y,x,-z'
'-x,y,z'
'-y,-x,-z'
'x,-y,z'
'y,x,-z'
loop_
_atom_site_label
_atom_site_type_symbol
_atom_site_fract_x
_atom_site_fract_y
_atom_site_fract_z
Pm1 Pm 0.0000 0.5000 0.2392
Be1 Be 0.0000 0.5000 0.8889
Be2 Be 0.5000 0.5000 0.5000
Ag1 Ag 0.0000 0.0000 0.5000
Pt1 Pt 0.0000 0.0000 0.0000
Pt2 Pt 0.0000 0.5000 0.6681
Pt3 Pt 0.5000 0.5000 0.0000


Result set for ΔH_f (0 K): 1.88; -0.43; -0.17; 0.66; -0.06; 0.00; 0.02; -0.76 eV per atom, one per record in the order listed.